# 1
Entry from Alexandria: crystalline LaTbEr4Tm2 at its relaxed geometry (PBE-GGA).

The volume comes out at 31.29 A^3/atom. The calculation puts the formation energy at 0.02 eV/atom.

The space group is C2/m (No. 12) and the conventional cell measures 12.2392, 7.0808 and 12.2517 Å, with angles of 90.00, 109.45 and 90.00 degrees. The asymmetric unit holds La at (0.2500, 0.2500, 0.0000), Tb at (0.0000, 0.0000, 0.0000), Tb at (0.0000, 0.0000, 0.5000), Er at (0.0019, 0.2501, 0.2531), Er at (0.2484, 0.5000, 0.7451), Er at (0.2485, 0.0000, 0.7455), Tm at (0.0000, 0.5000, 0.0000), Tm at (0.0000, 0.5000, 0.5000) and Tm at (0.2500, 0.2500, 0.5000).



# 2
Entry from Alexandria: crystalline LuAlCoCu at its relaxed geometry (PBE-GGA).

The volume comes out at 15.33 A^3/atom. The calculation puts the formation energy at -0.31 eV/atom.

The space group is F-43m (No. 216) and the conventional cell measures 6.2593, 6.2593 and 6.2593 Å, with angles of 90.00, 90.00 and 90.00 degrees. The asymmetric unit holds Lu at (0.0000, 0.0000, 0.0000), Al at (0.0000, 0.0000, 0.5000), Co at (0.2500, 0.2500, 0.7500) and Cu at (0.2500, 0.2500, 0.2500).



# 3
Entry from Alexandria: crystalline Nd3Dy6Er at its relaxed geometry (PBE-GGA).

The volume comes out at 33.56 A^3/atom. The energy above the most stable polymorph in this dataset is 7.5 kJ/mol of atoms. The calculation puts the formation energy at 0.23 eV/atom.

The space group is C2/m (No. 12) and the conventional cell measures 11.5527, 6.5928 and 9.6998 Å, with angles of 90.00, 114.71 and 90.00 degrees. The asymmetric unit holds Nd at (0.0000, 0.0000, 0.0000), Nd at (0.0702, 0.0000, 0.6989), Dy at (0.1365, 0.5000, 0.9214), Dy at (0.1862, 0.2539, 0.3121) and Er at (0.0000, 0.5000, 0.5000).



# 4
Entry from Alexandria: crystalline CaBe2Au at its relaxed geometry (PBE-GGA).

The volume comes out at 17.80 A^3/atom. The energy above the most stable polymorph in this dataset is 0.0 kJ/mol of atoms. The calculation puts the formation energy at -0.28 eV/atom.

The space group is C2/m (No. 12) and the conventional cell measures 6.9695, 4.0260 and 5.5844 Å, with angles of 90.00, 114.66 and 90.00 degrees. The asymmetric unit holds Ca at (0.0000, 0.0000, 0.0000), Be at (0.1865, 0.0000, 0.5599) and Au at (0.0000, 0.5000, 0.5000).



# 5
Entry from Alexandria: crystalline BaAs at its relaxed geometry (PBE-GGA).

The volume comes out at 37.48 A^3/atom. The calculation puts the formation energy at -0.74 eV/atom.

The space group is P2_13 (No. 198) and the conventional cell measures 6.6932, 6.6932 and 6.6932 Å, with angles of 90.00, 90.00 and 90.00 degrees. The asymmetric unit holds Ba at (0.0192, 0.0192, 0.0192) and As at (0.0254, 0.5254, 0.9746).



# 6
Entry from Alexandria: crystalline Ca12PaRh7 at its relaxed geometry (PBE-GGA).

The volume comes out at 29.67 A^3/atom. The calculation puts the formation energy at -0.38 eV/atom.

The space group is R-3 (No. 148, hexagonal axes) and the conventional cell measures 15.0496, 15.0496 and 9.0769 Å, with angles of 90.00, 90.00 and 120.00 degrees. The asymmetric unit holds Ca at (0.0084, 0.4311, 0.3337), Ca at (0.0434, 0.1657, 0.2991), Pa at (0.0000, 0.0000, 0.0000), Rh at (0.0000, 0.0000, 0.5000) and Rh at (0.0448, 0.1797, 0.9101).



# 7
Entry from Alexandria: crystalline TlFePdCl2 at its relaxed geometry (PBE-GGA).

For the formation energy without anion corrections, the calculation gives -67 kJ/mol of formula units. The volume comes out at 22.22 A^3/atom.

The space group is P4/mmm (No. 123) and the conventional cell measures 4.6332, 4.6332 and 5.1764 Å, with angles of 90.00, 90.00 and 90.00 degrees. The asymmetric unit holds Tl at (0.0000, 0.0000, 0.0000), Fe at (0.5000, 0.5000, 0.5000), Pd at (0.5000, 0.5000, 0.0000) and Cl at (0.0000, 0.5000, 0.5000).



# 8
Entry from Alexandria: crystalline MgHgCl at its relaxed geometry (PBE-GGA).

For the formation energy without anion corrections, the calculation gives -241 kJ/mol of formula units. The volume comes out at 25.69 A^3/atom. The energy above the most stable polymorph in this dataset is 0.0 kJ/mol of atoms.

The space group is P-3m1 (No. 164) and the conventional cell measures 3.4989, 3.4989 and 29.0771 Å, with angles of 90.00, 90.00 and 120.00 degrees. The asymmetric unit holds Mg at (0.3333, 0.6667, 0.1134), Mg at (0.3333, 0.6667, 0.6206), Hg at (0.3333, 0.6667, 0.8092), Hg at (0.3333, 0.6667, 0.9588), Cl at (0.3333, 0.6667, 0.3262) and Cl at (0.3333, 0.6667, 0.4327).